[1]
The following is a DFT calculation (PBE) of a relaxed structure of DyTiS2.

Cell lengths 6.717, 6.717, 6.717 Å; angles 31.45, 31.45, 31.45 degrees
Sites, in units of the cell vectors:
Dy 0.000 0.000 0.000
Ti 0.177 0.177 0.177
S 0.577 0.577 0.577
S 0.763 0.763 0.763

Calculated values
Total energy   -6.75 eV per atom
Offset from the most stable computed form   8 meV/atom

---

[2]
The following is a DFT calculation (PBE) of a relaxed structure of Dy2TiS4.

Cell lengths 6.978, 6.978, 6.909 Å; angles 118.38, 118.38, 31.75 degrees
Sites, in units of the cell vectors:
Dy 0.226 0.226 0.217
Dy 0.774 0.774 0.783
Ti 0.500 0.500 0.500
S 0.126 0.126 0.489
S 0.389 0.389 0.087
S 0.611 0.611 0.913
S 0.874 0.874 0.511

Calculated values
Total energy   -6.56 eV per atom

---

[3]
The following is a DFT calculation (PBE) of a relaxed structure of DyTiS3.

Cell lengths 7.879, 3.661, 12.979 Å; angles 90.00, 90.00, 90.00 degrees
Sites, in units of the cell vectors:
Dy 0.078 0.250 0.172
Dy 0.422 0.750 0.672
Dy 0.578 0.250 0.328
Dy 0.922 0.750 0.828
Ti 0.150 0.750 0.455
Ti 0.350 0.250 0.955
Ti 0.650 0.750 0.045
Ti 0.850 0.250 0.545
S 0.020 0.750 0.618
S 0.156 0.750 0.015
S 0.196 0.250 0.788
S 0.304 0.750 0.288
S 0.344 0.250 0.515
S 0.480 0.250 0.118
S 0.520 0.750 0.882
S 0.656 0.750 0.485
S 0.696 0.250 0.712
S 0.804 0.750 0.212
S 0.844 0.250 0.985
S 0.980 0.250 0.382

Calculated values
Total energy   -6.64 eV per atom

---

[4]
The following is a DFT calculation (PBE) of a relaxed structure of Dy6TlS3.

Cell lengths 11.395, 3.780, 12.096 Å; angles 90.00, 103.70, 90.00 degrees
Sites, in units of the cell vectors:
Dy 0.028 0.250 0.140
Dy 0.127 0.750 0.453
Dy 0.201 0.250 0.748
Dy 0.317 0.750 0.029
Dy 0.319 0.250 0.277
Dy 0.417 0.250 0.596
Dy 0.583 0.750 0.404
Dy 0.681 0.750 0.723
Dy 0.683 0.250 0.971
Dy 0.799 0.750 0.252
Dy 0.873 0.250 0.547
Dy 0.972 0.750 0.860
Tl 0.451 0.750 0.825
Tl 0.549 0.250 0.175
S 0.037 0.750 0.649
S 0.137 0.250 0.953
S 0.358 0.750 0.437
S 0.642 0.250 0.563
S 0.863 0.750 0.047
S 0.963 0.250 0.351

Calculated values
Total energy   -5.44 eV per atom

---

[5]
The following is a DFT calculation (PBE) of a relaxed structure of Dy2Tl4S5.

Cell lengths 24.685, 24.685, 24.685 Å; angles 9.44, 9.44, 9.44 degrees
Sites, in units of the cell vectors:
Dy 0.143 0.143 0.143
Dy 0.857 0.857 0.857
Tl 0.311 0.311 0.311
Tl 0.411 0.411 0.411
Tl 0.589 0.589 0.589
Tl 0.689 0.689 0.689
S 0.207 0.207 0.207
S 0.376 0.376 0.376
S 0.500 0.500 0.500
S 0.624 0.624 0.624
S 0.793 0.793 0.793

Calculated values
Total energy   -4.55 eV per atom

---

[6]
The following is a DFT calculation (PBE) of a relaxed structure of Dy7TlS5.

Cell lengths 3.923, 23.527, 6.809 Å; angles 90.00, 106.70, 90.00 degrees
Sites, in units of the cell vectors:
Dy 0.014 0.250 0.029
Dy 0.136 0.536 0.273
Dy 0.136 0.964 0.273
Dy 0.325 0.171 0.650
Dy 0.325 0.329 0.650
Dy 0.407 0.609 0.815
Dy 0.407 0.891 0.815
Dy 0.593 0.109 0.185
Dy 0.593 0.391 0.185
Dy 0.675 0.671 0.350
Dy 0.675 0.829 0.350
Dy 0.864 0.036 0.727
Dy 0.864 0.464 0.727
Dy 0.986 0.750 0.971
Tl 0.301 0.750 0.602
Tl 0.699 0.250 0.398
S 0.043 0.639 0.087
S 0.043 0.861 0.087
S 0.226 0.070 0.453
S 0.226 0.430 0.453
S 0.500 0.000 0.000
S 0.500 0.500 0.000
S 0.774 0.570 0.547
S 0.774 0.930 0.547
S 0.957 0.139 0.913
S 0.957 0.361 0.913

Calculated values
Total energy   -5.87 eV per atom